No. 1
PBE TbSi2TcNi, optimized geometry; uncorrected formation energy = -3.8 eV per formula unit; total magnetization = 0.00 μB per cell; symmetry = No. 119
1.0
-2.019 2.019 4.982
2.019 -2.019 4.982
2.019 2.019 -4.982
Tb Si Tc Ni
1 2 1 1
direct
0.000 0.000 0.000
0.375 0.375 0.000
0.625 0.625 0.000
0.750 0.250 0.500
0.250 0.750 0.500

No. 2
PBE Li2Ca2Ni15, optimized geometry; total magnetization = 6.91 μB per cell; symmetry = No. 166; formation enthalpy at 0 K = -1.93 eV/f.u.
1.0
4.196 2.423 4.005
-4.196 2.423 4.005
0.000 -4.845 4.005
Li Ca Ni
2 2 15
direct
0.097 0.097 0.097
0.903 0.903 0.903
0.344 0.344 0.344
0.656 0.656 0.656
0.000 0.000 0.500
0.000 0.299 0.701
0.000 0.500 0.000
0.000 0.701 0.299
0.155 0.656 0.656
0.299 0.000 0.701
0.299 0.701 0.000
0.344 0.344 0.845
0.344 0.845 0.344
0.500 0.000 0.000
0.656 0.155 0.656
0.656 0.656 0.155
0.701 0.000 0.299
0.701 0.299 0.000
0.845 0.344 0.344

No. 3
PBE Ca3Pr2AgSe6, optimized geometry; uncorrected formation energy = -20.2 eV per formula unit; total magnetization = 0.00 μB per cell; symmetry = No. 12
1.0
3.657 -6.327 0.000
3.657 6.327 0.000
-2.437 0.000 6.920
Ca Pr Ag Se
3 2 1 6
direct
0.000 0.000 0.000
0.335 0.665 0.000
0.665 0.335 0.000
0.167 0.833 0.500
0.833 0.167 0.500
0.500 0.500 0.500
0.082 0.415 0.246
0.251 0.251 0.752
0.415 0.082 0.246
0.585 0.918 0.754
0.749 0.749 0.248
0.918 0.585 0.754

No. 4
PBE Pm3MgCd3, optimized geometry; total magnetization = 1.22 μB per cell; symmetry = No. 12; formation enthalpy at 0 K = -0.96 eV/f.u.
1.0
5.273 -5.408 0.000
5.273 5.408 0.000
-0.001 0.000 7.120
Pm Mg Cd
6 2 6
direct
0.000 0.000 0.250
0.000 0.000 0.750
0.000 0.500 0.249
0.000 0.500 0.751
0.500 0.000 0.249
0.500 0.000 0.751
0.332 0.332 0.501
0.668 0.668 0.499
0.266 0.734 0.500
0.287 0.713 0.000
0.297 0.297 0.999
0.703 0.703 0.001
0.713 0.287 0.000
0.734 0.266 0.500

No. 5
PBE LaZn2BIr2, optimized geometry; total magnetization = 0.00 μB per cell; symmetry = No. 123; formation enthalpy at 0 K = -3.31 eV/f.u.
1.0
4.173 0.000 0.000
0.000 4.173 0.000
0.000 0.000 5.773
La Zn B Ir
1 2 1 2
direct
0.000 0.000 0.000
0.500 0.500 0.219
0.500 0.500 0.781
0.000 0.000 0.500
0.000 0.500 0.500
0.500 0.000 0.500

No. 6
PBE SmHoCd14, optimized geometry; total magnetization = 0.00 μB per cell; symmetry = No. 123; formation enthalpy at 0 K = -2.25 eV/f.u.
1.0
6.623 0.000 0.000
0.000 6.623 0.000
0.000 0.000 8.495
Sm Ho Cd
1 1 14
direct
0.000 0.000 0.000
0.500 0.500 0.000
0.000 0.000 0.500
0.000 0.500 0.000
0.000 0.500 0.500
0.252 0.252 0.259
0.252 0.252 0.741
0.252 0.748 0.259
0.252 0.748 0.741
0.500 0.000 0.000
0.500 0.000 0.500
0.500 0.500 0.500
0.748 0.252 0.259
0.748 0.252 0.741
0.748 0.748 0.259
0.748 0.748 0.741

No. 7
PBE Cu2SnHgPb, optimized geometry; total magnetization = 0.00 μB per cell; symmetry = No. 123; formation enthalpy at 0 K = 2.56 eV/f.u.
1.0
4.879 0.000 0.000
0.000 4.879 0.000
0.000 0.000 5.656
Cu Sn Hg Pb
2 1 1 1
direct
0.000 0.500 0.000
0.500 0.000 0.000
0.000 0.000 0.000
0.000 0.000 0.500
0.500 0.500 0.500

No. 8
PBE KSbI2F, optimized geometry; uncorrected formation energy = -5.6 eV per formula unit; total magnetization = 0.53 μB per cell; symmetry = No. 123; ΔE to the lowest computed polymorph = 0 meV/atom
1.0
6.388 0.000 0.000
0.000 6.388 0.000
0.000 0.000 4.475
K Sb I F
1 1 2 1
direct
0.000 0.000 0.000
0.500 0.500 0.500
0.000 0.500 0.500
0.500 0.000 0.500
0.500 0.500 0.000

No. 9
PBE Sr2CaGe2, optimized geometry; total magnetization = 0.00 μB per cell; symmetry = No. 139; ΔE to the lowest computed polymorph = 268 meV/atom; formation enthalpy at 0 K = -1.34 eV/f.u.
1.0
-2.460 2.460 6.650
2.460 -2.460 6.650
2.460 2.460 -6.650
Sr Ca Ge
2 1 2
direct
0.250 0.750 0.500
0.750 0.250 0.500
0.000 0.000 0.000
0.408 0.408 0.000
0.592 0.592 0.000

No. 10
PBE BaZr2Cu, optimized geometry; total magnetization = 0.00 μB per cell; symmetry = No. 65; ΔE to the lowest computed polymorph = 595 meV/atom; formation enthalpy at 0 K = 2.95 eV/f.u.
1.0
2.990 -5.147 0.000
2.990 5.147 0.000
0.000 0.000 3.208
Ba Zr Cu
1 2 1
direct
0.000 0.000 0.000
0.000 0.500 0.500
0.500 0.000 0.500
0.500 0.500 0.000

No. 11
PBE TmCuNi5Ge2, optimized geometry; total magnetization = 0.00 μB per cell; symmetry = No. 123; formation enthalpy at 0 K = -1.21 eV/f.u.
1.0
3.774 0.000 0.000
0.000 3.774 0.000
0.000 0.000 9.000
Tm Cu Ni Ge
1 1 5 2
direct
0.000 0.000 0.000
0.000 0.000 0.500
0.000 0.500 0.219
0.000 0.500 0.781
0.500 0.000 0.219
0.500 0.000 0.781
0.500 0.500 0.000
0.500 0.500 0.368
0.500 0.500 0.632

No. 12
PBE IrW2Au, optimized geometry; total magnetization = 0.00 μB per cell; symmetry = No. 122; ΔE to the lowest computed polymorph = 614 meV/atom; formation enthalpy at 0 K = 2.86 eV/f.u.
1.0
-3.657 3.657 2.676
3.657 -3.657 2.676
3.657 3.657 -2.676
Ir W Au
2 4 2
direct
0.000 0.000 0.000
0.750 0.250 0.500
0.089 0.625 0.964
0.375 0.339 0.464
0.661 0.125 0.036
0.875 0.911 0.536
0.250 0.750 0.500
0.500 0.500 0.000

No. 13
PBE Y2GaSi2Ru5, optimized geometry; uncorrected formation energy = -6.2 eV per formula unit; total magnetization = 0.00 μB per cell; symmetry = No. 127
1.0
9.970 0.000 0.000
0.000 9.970 0.000
0.000 0.000 3.243
Y Ga Si Ru
4 2 4 10
direct
0.173 0.327 0.000
0.327 0.827 0.000
0.673 0.173 0.000
0.827 0.673 0.000
0.000 0.000 0.000
0.500 0.500 0.000
0.128 0.628 0.000
0.372 0.128 0.000
0.628 0.872 0.000
0.872 0.372 0.000
0.000 0.500 0.500
0.067 0.793 0.500
0.207 0.067 0.500
0.293 0.567 0.500
0.433 0.293 0.500
0.500 0.000 0.500
0.567 0.707 0.500
0.707 0.433 0.500
0.793 0.933 0.500
0.933 0.207 0.500

No. 14
PBE SmTiPd2, optimized geometry; total magnetization = 0.00 μB per cell; symmetry = No. 166; ΔE to the lowest computed polymorph = 2 meV/atom; formation enthalpy at 0 K = -2.40 eV/f.u.
1.0
2.224 1.284 4.838
-2.224 1.284 4.838
0.000 -2.569 4.838
Sm Ti Pd
1 1 2
direct
0.000 0.000 0.000
0.500 0.500 0.500
0.211 0.211 0.211
0.789 0.789 0.789

No. 15
PBE SiAg3Te3, optimized geometry; uncorrected formation energy = 0.5 eV per formula unit; total magnetization = 0.00 μB per cell; symmetry = No. 11
1.0
9.058 0.000 0.000
0.000 4.658 0.000
-2.587 0.000 9.496
Si Ag Te
2 6 6
direct
0.221 0.250 0.273
0.779 0.750 0.727
0.126 0.250 0.717
0.291 0.750 0.676
0.306 0.750 0.206
0.694 0.250 0.794
0.709 0.250 0.324
0.874 0.750 0.283
0.063 0.750 0.848
0.338 0.250 0.537
0.423 0.250 0.109
0.577 0.750 0.891
0.662 0.750 0.463
0.937 0.250 0.152

No. 16
PBE CsLiS2Cl, optimized geometry; uncorrected formation energy = 1.3 eV per formula unit; total magnetization = 1.06 μB per cell; symmetry = No. 123; ΔE to the lowest computed polymorph = 733 meV/atom
1.0
5.573 0.000 0.000
0.000 5.573 0.000
0.000 0.000 6.441
Cs Li S Cl
1 1 2 1
direct
0.000 0.000 0.000
0.500 0.500 0.500
0.000 0.500 0.000
0.500 0.000 0.000
0.000 0.000 0.500

No. 17
PBE MnHgCl3, optimized geometry; uncorrected formation energy = -0.1 eV per formula unit; total magnetization = 5.93 μB per cell; symmetry = No. 221; ΔE to the lowest computed polymorph = 748 meV/atom
1.0
5.294 0.000 0.000
0.000 5.294 0.000
0.000 0.000 5.294
Mn Hg Cl
1 1 3
direct
0.000 0.000 0.000
0.500 0.500 0.500
0.000 0.500 0.500
0.500 0.000 0.500
0.500 0.500 0.000

No. 18
PBE TbSm12Tm6, optimized geometry; total magnetization = 0.00 μB per cell; symmetry = No. 166; ΔE to the lowest computed polymorph = 58 meV/atom; formation enthalpy at 0 K = 3.78 eV/f.u.
1.0
6.654 3.842 4.185
-6.654 3.842 4.185
0.000 -7.683 4.185
Tb Sm Tm
1 12 6
direct
0.000 0.000 0.000
0.082 0.354 0.354
0.242 0.500 0.758
0.242 0.758 0.500
0.354 0.082 0.354
0.354 0.354 0.082
0.500 0.242 0.758
0.500 0.758 0.242
0.646 0.646 0.918
0.646 0.918 0.646
0.758 0.242 0.500
0.758 0.500 0.242
0.918 0.646 0.646
0.099 0.099 0.664
0.099 0.664 0.099
0.336 0.901 0.901
0.664 0.099 0.099
0.901 0.336 0.901
0.901 0.901 0.336